No. 1
Here is a relaxed CsPuPbS3 crystal from Alexandria. Energies are from PBE.

Lattice parameters (Å, degrees): 4.163 8.810 12.072 107.84 90.00 90.00
Site moments in Bohr magnetons follow the coordinates.
Sites, in units of the cell vectors:
Cs1 0.250 0.203 0.228  0.00
Cs2 0.750 0.797 0.772  0.00
Pu1 0.250 0.634 0.140  5.05
Pu2 0.750 0.366 0.860  5.05
Pb1 0.250 0.174 0.586  0.01
Pb2 0.750 0.826 0.414  0.01
S1 0.750 0.863 0.202  -0.06
S2 0.250 0.137 0.798  -0.06
S3 0.250 0.620 0.370  -0.03
S4 0.750 0.380 0.630  -0.03
S5 0.750 0.417 0.093  -0.12
S6 0.250 0.583 0.907  -0.12

Results
For the volume, the calculation gives 35.12 Å³/atom. Its theoretical density is 5.360 g cm⁻³. Its formation energy (no corrections) is -1.1742 eV per atom. As for the density of states at the Fermi level: 16.719 states/eV per cell.

No. 2
Here is a relaxed Ac2YSb3Rh6 crystal from Alexandria. Energies are from PBE.

Lattice parameters (Å, degrees): 4.187 4.187 17.118 90.00 90.00 90.00
Sites, in units of the cell vectors:
Ac1 0.500 0.500 0.161
Ac2 0.500 0.500 0.839
Y1 0.500 0.500 0.500
Sb1 0.000 0.000 0.299
Sb2 0.000 0.000 0.701
Sb3 0.000 0.000 0.000
Rh1 0.000 0.500 0.616
Rh2 0.500 0.000 0.384
Rh3 0.500 0.000 0.616
Rh4 0.000 0.000 0.149
Rh5 0.000 0.500 0.384
Rh6 0.000 0.000 0.851

Results
For the volume, the calculation gives 25.01 Å³/atom. Its theoretical density is 8.442 g cm⁻³. Its formation energy (no corrections) is -0.5123 eV per atom. As for the density of states at the Fermi level: 8.054 states/eV per cell.

No. 3
Here is a relaxed La7Zn crystal from Alexandria. Energies are from PBE.

Lattice parameters (Å, degrees): 7.218 7.218 7.218 60.00 60.00 60.00
Sites, in units of the cell vectors:
La1 0.000 0.500 0.000
La2 0.000 0.500 0.500
La3 0.500 0.500 0.000
La4 0.500 0.000 0.500
La5 0.500 0.000 0.000
La6 0.000 0.000 0.500
La7 0.500 0.500 0.500
Zn1 0.000 0.000 0.000

Results
For the volume, the calculation gives 33.24 Å³/atom. Its theoretical density is 6.481 g cm⁻³. As for the density of states at the Fermi level: 11.676 states/eV per cell. The calculation puts the electronic total energy at -35.9 eV for the cell shown.

No. 4
Here is a relaxed Ca5Ga3I12 crystal from Alexandria. Energies are from PBE.

Lattice parameters (Å, degrees): 16.812 16.812 16.812 109.47 109.47 109.47
Site moments in Bohr magnetons follow the coordinates.
Sites, in units of the cell vectors:
Ga1 0.750 0.375 0.125  0.06
Ga2 0.875 0.750 0.125  0.06
Ga3 0.375 0.750 0.625  0.06
Ga4 0.250 0.125 0.375  0.06
Ga5 0.875 0.125 0.250  0.06
Ga6 0.375 0.625 0.250  0.06
Ga7 0.625 0.375 0.750  0.06
Ga8 0.125 0.875 0.750  0.06
Ga9 0.750 0.875 0.625  0.06
Ga10 0.625 0.250 0.375  0.06
Ga11 0.125 0.250 0.875  0.06
Ga12 0.250 0.625 0.875  0.06
Ca1 0.125 0.375 0.250  0.00
Ca2 0.000 0.500 0.000  0.01
Ca3 0.000 0.000 0.000  0.01
Ca4 0.375 0.250 0.125  0.00
Ca5 0.500 0.000 0.500  0.01
Ca6 0.500 0.500 0.000  0.01
Ca7 0.125 0.750 0.375  0.00
Ca8 0.750 0.125 0.875  0.00
Ca9 0.750 0.625 0.375  0.00
Ca10 0.375 0.125 0.750  0.00
Ca11 0.625 0.875 0.250  0.00
Ca12 0.500 0.500 0.500  0.01
Ca13 0.500 0.000 0.000  0.01
Ca14 0.000 0.000 0.500  0.01
Ca15 0.250 0.375 0.625  0.00
Ca16 0.250 0.875 0.125  0.00
Ca17 0.000 0.500 0.500  0.01
Ca18 0.875 0.250 0.625  0.00
Ca19 0.625 0.750 0.875  0.00
Ca20 0.875 0.625 0.750  0.00
I1 0.710 0.125 0.036  0.00
I2 0.326 0.536 0.411  0.00
I3 0.964 0.375 0.290  0.00
I4 0.536 0.210 0.125  0.00
I5 0.585 0.710 0.674  0.00
I6 0.964 0.589 0.174  0.00
I7 0.326 0.790 0.415  0.00
I8 0.089 0.915 0.125  0.00
I9 0.589 0.964 0.674  0.00
I10 0.710 0.585 0.174  0.00
I11 0.790 0.464 0.375  0.00
I12 0.826 0.911 0.036  0.00
I13 0.125 0.710 0.536  0.00
I14 0.375 0.411 0.085  0.00
I15 0.085 0.911 0.375  0.00
I16 0.415 0.125 0.589  0.00
I17 0.085 0.174 0.210  0.00
I18 0.464 0.674 0.089  0.00
I19 0.826 0.915 0.290  0.00
I20 0.125 0.415 0.089  0.00
I21 0.375 0.964 0.790  0.00
I22 0.589 0.625 0.415  0.00
I23 0.911 0.826 0.536  0.00
I24 0.790 0.326 0.915  0.00
I25 0.411 0.375 0.585  0.00
I26 0.089 0.174 0.464  0.00
I27 0.210 0.674 0.085  0.00
I28 0.174 0.085 0.710  0.00
I29 0.625 0.036 0.210  0.00
I30 0.875 0.585 0.911  0.00
I31 0.536 0.326 0.911  0.00
I32 0.585 0.875 0.411  0.00
I33 0.915 0.826 0.790  0.00
I34 0.915 0.089 0.625  0.00
I35 0.875 0.290 0.464  0.00
I36 0.174 0.089 0.964  0.00
I37 0.625 0.589 0.915  0.00
I38 0.411 0.036 0.326  0.00
I39 0.290 0.415 0.826  0.00
I40 0.210 0.536 0.625  0.00
I41 0.911 0.085 0.875  0.00
I42 0.674 0.210 0.585  0.00
I43 0.464 0.790 0.875  0.00
I44 0.036 0.411 0.826  0.00
I45 0.415 0.290 0.326  0.00
I46 0.036 0.625 0.710  0.00
I47 0.674 0.464 0.589  0.00
I48 0.290 0.875 0.964  0.00

Results
For the volume, the calculation gives 45.72 Å³/atom. Its theoretical density is 3.509 g cm⁻³. Its formation energy (no corrections) is -1.0674 eV per atom. As for the density of states at the Fermi level: 27.916 states/eV per cell.

- Which value of theoretical density does entry 3 give?
  6.481 g cm⁻³

- Among the records above, which one has the lowest theoretical density?
  Ca5Ga3I12

- Look up the theoretical density of the fourth one.
  3.509 g cm⁻³